Entry 1:
Entry from Alexandria via LeMat-Bulk: crystalline HfSbI2O at its relaxed geometry (GGA-PBE).

Cell lengths 6.1235, 6.1235, 4.0046 Å; angles 90.00, 90.00, 90.00 degrees
Element x y z (fractional)
I1 0.0000 0.5000 0.0000
I2 0.5000 0.0000 0.0000
Sb1 0.0000 0.0000 0.0000
Hf1 0.5000 0.5000 0.5000
O1 0.0000 0.0000 0.5000

Results
Energy in eV per atom: -4.13

***

Entry 2:
Entry from Alexandria via LeMat-Bulk: crystalline Mg2Pb2Cl at its relaxed geometry (GGA-PBE).

Cell lengths 4.3975, 4.3975, 8.3308 Å; angles 74.70, 74.70, 90.00 degrees
Element x y z (fractional)
Pb1 0.7500 0.2500 0.5000
Pb2 0.2500 0.7500 0.5000
Mg1 0.4035 0.4035 0.1929
Mg2 0.5965 0.5965 0.8071
Cl1 0.0000 0.0000 0.0000

Results
Energy in eV per atom: -2.57

***

Entry 3:
Entry from Alexandria via LeMat-Bulk: crystalline Sr3LiPa2N6 at its relaxed geometry (GGA-PBE).

Cell lengths 6.1582, 6.1582, 6.3560 Å; angles 100.13, 100.13, 118.68 degrees
Element x y z (fractional)
Sr1 0.1568 0.8432 0.5000
Sr2 0.8432 0.1568 0.5000
Sr3 0.5000 0.5000 0.5000
Li1 0.0000 0.0000 0.0000
Pa1 0.3303 0.6697 0.0000
Pa2 0.6697 0.3303 0.0000
N1 0.9347 0.5600 0.7882
N2 0.6939 0.6939 0.2084
N3 0.0653 0.4400 0.2118
N4 0.5600 0.9347 0.7882
N5 0.3061 0.3061 0.7916
N6 0.4400 0.0653 0.2118

Results
Energy in eV per atom: -7.43

***

Entry 4:
Entry from Alexandria via LeMat-Bulk: crystalline LiSi2As at its relaxed geometry (GGA-PBE).

Cell lengths 3.4914, 3.4914, 5.6768 Å; angles 90.00, 90.00, 90.00 degrees
Element x y z (fractional)
As1 0.0000 0.0000 0.4641
Li1 0.5000 0.5000 0.7518
Si1 0.0000 0.0000 0.0451
Si2 0.5000 0.5000 0.2390

Results
Energy in eV per atom: -4.22

***

Entry 5:
Entry from Alexandria via LeMat-Bulk: crystalline TiAlFe2Te at its relaxed geometry (GGA-PBE).

Cell lengths 4.2655, 5.1157, 4.2655 Å; angles 90.00, 90.00, 90.00 degrees
Element x y z (fractional)
Al1 0.0000 0.0000 0.0000
Te1 0.0000 0.5000 0.0000
Fe1 0.0000 0.0000 0.5000
Fe2 0.5000 0.0000 0.0000
Ti1 0.5000 0.5000 0.5000

Results
Energy in eV per atom: -5.14

***

Entry 6:
Entry from Alexandria via LeMat-Bulk: crystalline Ca2Zn3InAu4 at its relaxed geometry (GGA-PBE).

Cell lengths 4.3906, 4.3906, 11.2511 Å; angles 90.00, 90.00, 90.00 degrees
Element x y z (fractional)
Ca1 0.5000 0.0000 0.2387
Ca2 0.0000 0.5000 0.7613
Zn1 0.0000 0.0000 0.5000
Zn2 0.5000 0.0000 0.8735
Zn3 0.0000 0.5000 0.1265
In1 0.5000 0.5000 0.5000
Au1 0.5000 0.5000 0.0000
Au2 0.0000 0.0000 0.0000
Au3 0.5000 0.0000 0.6498
Au4 0.0000 0.5000 0.3502

Results
Energy relative to the elements in eV per atom: -0.47
Energy in eV per atom: -2.84

***

Entry 7:
Entry from Alexandria via LeMat-Bulk: crystalline La5Nd3Y2 at its relaxed geometry (GGA-PBE).

Cell lengths 10.3351, 10.3565, 11.4968 Å; angles 130.05, 130.01, 64.57 degrees
Element x y z (fractional)
La1 0.2709 0.5209 0.0417
La2 0.7291 0.4791 0.9583
La3 0.0242 0.7742 0.5485
La4 0.5203 0.2703 0.5406
La5 0.9758 0.2258 0.4515
La6 0.4797 0.7297 0.4594
La7 0.8783 0.6318 0.7535
La8 0.1217 0.3682 0.2465
La9 0.3751 0.1216 0.7535
La10 0.6249 0.8784 0.2465
Nd1 0.2315 0.9815 0.9629
Nd2 0.7685 0.0185 0.0371
Nd3 0.7192 0.4715 0.2500
Nd4 0.2808 0.5285 0.7500
Nd5 0.0308 0.7785 0.2500
Nd6 0.9692 0.2215 0.7500
Y1 0.7808 0.0322 0.7538
Y2 0.2192 0.9678 0.2462
Y3 0.4730 0.7216 0.7538
Y4 0.5270 0.2784 0.2462

Results
Energy relative to the elements in eV per atom: 0.14
Energy in eV per atom: -5.04

***

Entry 8:
Entry from Alexandria via LeMat-Bulk: crystalline Ce2Ga5Ir3 at its relaxed geometry (GGA-PBE).

Cell lengths 4.2918, 6.8945, 12.6162 Å; angles 90.00, 99.79, 90.00 degrees
Element x y z (fractional)
Ce1 0.4777 0.7766 0.9555
Ce2 0.1757 0.7088 0.3515
Ce3 0.8243 0.2088 0.6485
Ce4 0.5223 0.2766 0.0445
Ga1 0.3980 0.4098 0.7959
Ga2 0.2915 0.4999 0.5830
Ga3 0.7085 0.9999 0.4170
Ga4 0.1267 0.2556 0.2533
Ga5 0.2944 0.8937 0.5888
Ga6 0.9468 0.1091 0.8937
Ga7 0.7056 0.3937 0.4112
Ga8 0.8733 0.7556 0.7467
Ga9 0.0532 0.6091 0.1063
Ga10 0.6020 0.9098 0.2041
Ir1 0.7707 0.6945 0.5413
Ir2 0.6075 0.5224 0.2149
Ir3 0.0487 0.9944 0.0974
Ir4 0.2293 0.1945 0.4587
Ir5 0.9513 0.4944 0.9026
Ir6 0.3925 0.0224 0.7851

Results
Energy relative to the elements in eV per atom: -0.70
Energy in eV per atom: -6.06

***

Entry 9:
Entry from Alexandria via LeMat-Bulk: crystalline KPdPtI6 at its relaxed geometry (GGA-PBE).

Cell lengths 8.5446, 7.2417, 7.3538 Å; angles 78.44, 71.60, 53.73 degrees
Element x y z (fractional)
K1 0.1517 0.6942 0.9990
Pd1 0.3095 0.3843 0.4987
Pt1 0.6518 0.6959 0.5002
I1 0.9580 0.3747 0.2454
I2 0.3392 0.0371 0.7424
I3 0.6652 0.3697 0.7598
I4 0.9258 0.6954 0.6404
I5 0.3754 0.7040 0.3583
I6 0.6231 0.0449 0.2558

Results
Energy in eV per atom: -2.78

***

Entry 10:
Entry from Alexandria via LeMat-Bulk: crystalline ZnCuCl2 at its relaxed geometry (GGA-PBE).

Cell lengths 5.8804, 5.8804, 6.9319 Å; angles 64.90, 64.90, 90.00 degrees
Element x y z (fractional)
Zn1 0.0000 0.0000 0.0000
Zn2 0.7500 0.2500 0.5000
Cu1 0.5000 0.5000 0.0000
Cu2 0.2500 0.7500 0.5000
Cl1 0.5797 0.1250 0.2500
Cl2 0.1703 0.6250 0.2500
Cl3 0.3750 0.4203 0.7500
Cl4 0.8750 0.8297 0.7500

Results
Energy in eV per atom: -2.55

***

Entry 11:
Entry from Alexandria via LeMat-Bulk: crystalline La2Re at its relaxed geometry (GGA-PBE).

Cell lengths 6.9127, 6.9127, 4.2384 Å; angles 90.00, 90.00, 120.00 degrees
Element x y z (fractional)
La1 0.5000 0.0000 0.0000
La2 0.5000 0.5000 0.0000
La3 0.0000 0.5000 0.0000
La4 0.0000 0.0000 0.5000
Re1 0.6667 0.3333 0.5000
Re2 0.3333 0.6667 0.5000

Results
Energy relative to the elements in eV per atom: 0.50
Energy in eV per atom: -6.94

***

Entry 12:
Entry from Alexandria via LeMat-Bulk: crystalline Cs3AgAu2 at its relaxed geometry (GGA-PBE).

Cell lengths 4.3945, 4.3945, 13.2367 Å; angles 90.00, 90.00, 90.00 degrees
Element x y z (fractional)
Cs1 0.0000 0.0000 0.0000
Cs2 0.0000 0.0000 0.6749
Cs3 0.0000 0.0000 0.3251
Ag1 0.5000 0.5000 0.5000
Au1 0.5000 0.5000 0.8360
Au2 0.5000 0.5000 0.1640

Results
Energy relative to the elements in eV per atom: -0.19
Energy in eV per atom: -2.19

***

Entry 13:
Entry from Alexandria via LeMat-Bulk: crystalline NbInGe2 at its relaxed geometry (GGA-PBE).

Cell lengths 4.7854, 4.7854, 4.7854 Å; angles 60.00, 60.00, 60.00 degrees
Element x y z (fractional)
Nb1 0.0000 0.0000 0.0000
Ge1 0.2500 0.2500 0.2500
Ge2 0.7500 0.7500 0.7500
In1 0.5000 0.5000 0.5000

Results
Energy relative to the elements in eV per atom: 0.41
Energy in eV per atom: -5.10

***

Entry 14:
Entry from Alexandria via LeMat-Bulk: crystalline PuPd2Au5 at its relaxed geometry (GGA-PBE).

Cell lengths 2.9458, 7.2887, 7.2887 Å; angles 78.75, 78.34, 78.34 degrees
Element x y z (fractional)
Pu1 0.0000 0.0000 0.0000
Pd1 0.7369 0.7631 0.7631
Pd2 0.2631 0.2369 0.2369
Au1 0.0000 0.5000 0.5000
Au2 0.6325 0.5929 0.1420
Au3 0.3675 0.4071 0.8580
Au4 0.3675 0.8580 0.4071
Au5 0.6325 0.1420 0.5929

Results
Energy relative to the elements in eV per atom: -0.18
Energy in eV per atom: -5.32

***

Entry 15:
Entry from Alexandria via LeMat-Bulk: crystalline Cd5Si7 at its relaxed geometry (GGA-PBE).

Cell lengths 6.9407, 6.9407, 6.9407 Å; angles 104.59, 104.59, 119.74 degrees
Element x y z (fractional)
Si1 0.6226 0.6226 0.0000
Si2 0.8833 0.3833 0.5000
Si3 0.3833 0.8833 0.5000
Si4 0.3367 0.6367 0.6999
Si5 0.9368 0.6367 0.3001
Si6 0.6367 0.3367 0.6999
Si7 0.6367 0.9368 0.3001
Cd1 0.2551 0.2551 0.0000
Cd2 0.8096 0.8096 0.6149
Cd3 0.1947 0.1947 0.3851
Cd4 0.1947 0.8096 0.0000
Cd5 0.8096 0.1947 0.0000

Results
Energy in eV per atom: -3.19

***

Entry 16:
Entry from Alexandria via LeMat-Bulk: crystalline PmSi2Ir at its relaxed geometry (GGA-PBE).

Cell lengths 4.8990, 4.8990, 4.4966 Å; angles 56.99, 56.99, 60.00 degrees
Element x y z (fractional)
Si1 0.2333 0.2333 0.3001
Si2 0.7667 0.7667 0.6999
Ir1 0.0000 0.0000 0.0000
Pm1 0.5000 0.5000 0.5000

Results
Energy in eV per atom: -6.39

***

Entry 17:
Entry from Alexandria via LeMat-Bulk: crystalline NaAlBr3 at its relaxed geometry (GGA-PBE).

Cell lengths 5.3359, 5.3359, 5.3359 Å; angles 90.00, 90.00, 90.00 degrees
Element x y z (fractional)
Na1 0.5000 0.5000 0.5000
Al1 0.0000 0.0000 0.0000
Br1 0.0000 0.5000 0.0000
Br2 0.0000 0.0000 0.5000
Br3 0.5000 0.0000 0.0000

Results
Energy in eV per atom: -2.94

***

Entry 18:
Entry from Alexandria via LeMat-Bulk: crystalline Ba2TmMg at its relaxed geometry (GGA-PBE).

Cell lengths 3.7347, 3.7347, 13.4298 Å; angles 82.01, 82.01, 60.00 degrees
Element x y z (fractional)
Mg1 0.5000 0.5000 0.5000
Tm1 0.0000 0.0000 0.0000
Ba1 0.0890 0.0890 0.7330
Ba2 0.9110 0.9110 0.2670

Results
Energy relative to the elements in eV per atom: 0.38
Energy in eV per atom: -2.10

***

Entry 19:
Entry from Alexandria via LeMat-Bulk: crystalline Sr2AcCeS4 at its relaxed geometry (GGA-PBE).

Cell lengths 4.2070, 7.4029, 7.2952 Å; angles 70.85, 90.00, 90.00 degrees
Element x y z (fractional)
Sr1 0.0000 0.0000 0.0000
Sr2 0.5000 0.0000 0.5000
Ac1 0.0000 0.5000 0.5000
Ce1 0.5000 0.5000 0.0000
S1 0.0000 0.7445 0.7588
S2 0.0000 0.2555 0.2412
S3 0.5000 0.7494 0.2427
S4 0.5000 0.2506 0.7573

Results
Energy in eV per atom: -5.76

***

Entry 20:
Entry from Alexandria via LeMat-Bulk: crystalline Ac2In3Au4 at its relaxed geometry (GGA-PBE).

Cell lengths 6.4847, 8.4411, 8.9671 Å; angles 90.00, 111.20, 90.00 degrees
Element x y z (fractional)
Ac1 0.1131 0.5855 0.2262
Ac2 0.8869 0.4145 0.7738
Ac3 0.3869 0.0855 0.7738
Ac4 0.6131 0.9145 0.2262
In1 0.0000 0.0000 0.0000
In2 0.5000 0.5000 0.0000
In3 0.5356 0.7500 0.5711
In4 0.9644 0.2500 0.4289
In5 0.4644 0.2500 0.4289
In6 0.0356 0.7500 0.5711
Au1 0.7063 0.7500 0.9126
Au2 0.7937 0.2500 0.0874
Au3 0.2937 0.2500 0.0874
Au4 0.2063 0.7500 0.9126
Au5 0.1834 0.9571 0.3668
Au6 0.8166 0.0429 0.6332
Au7 0.3166 0.4571 0.6332
Au8 0.6834 0.5429 0.3668

Results
Energy relative to the elements in eV per atom: -0.58
Energy in eV per atom: -3.86

***

Entry 21:
Entry from Alexandria via LeMat-Bulk: crystalline NdTh2Pb at its relaxed geometry (GGA-PBE).

Cell lengths 3.4568, 3.4568, 12.7220 Å; angles 82.19, 82.19, 60.00 degrees
Element x y z (fractional)
Pb1 0.5000 0.5000 0.5000
Nd1 0.0000 0.0000 0.0000
Th1 0.0905 0.0905 0.7285
Th2 0.9095 0.9095 0.2715

Results
Energy relative to the elements in eV per atom: 0.15
Energy in eV per atom: -5.68

***

Entry 22:
Entry from Alexandria via LeMat-Bulk: crystalline Al2GaSnF at its relaxed geometry (GGA-PBE).

Cell lengths 5.3970, 4.2774, 5.3970 Å; angles 90.00, 90.00, 90.00 degrees
Element x y z (fractional)
F1 0.0000 0.5000 0.0000
Sn1 0.0000 0.0000 0.0000
Ga1 0.5000 0.5000 0.5000
Al1 0.0000 0.0000 0.5000
Al2 0.5000 0.0000 0.0000

Results
Energy in eV per atom: -3.32

***

Entry 23:
Entry from Alexandria via LeMat-Bulk: crystalline CaZr2W at its relaxed geometry (GGA-PBE).

Cell lengths 2.9375, 2.9375, 10.3954 Å; angles 90.00, 90.00, 90.00 degrees
Element x y z (fractional)
Ca1 0.0000 0.0000 0.5233
Zr1 0.0000 0.0000 0.9870
Zr2 0.5000 0.5000 0.2264
W1 0.5000 0.5000 0.7633

Results
Energy relative to the elements in eV per atom: 0.51
Energy in eV per atom: -7.50

***

Entry 24:
Entry from Alexandria via LeMat-Bulk: crystalline MgIn2CuB at its relaxed geometry (GGA-PBE).

Cell lengths 5.3788, 4.6739, 5.3788 Å; angles 90.00, 90.00, 90.00 degrees
Element x y z (fractional)
Mg1 0.0000 0.0000 0.0000
B1 0.5000 0.5000 0.5000
Cu1 0.0000 0.5000 0.0000
In1 0.0000 0.0000 0.5000
In2 0.5000 0.0000 0.0000

Results
Energy relative to the elements in eV per atom: 1.46
Energy in eV per atom: -2.11

***

Entry 25:
Entry from Alexandria via LeMat-Bulk: crystalline ZnNi3B at its relaxed geometry (GGA-PBE).

Cell lengths 3.8147, 3.8147, 3.8147 Å; angles 90.00, 90.00, 90.00 degrees
Element x y z (fractional)
Ni1 0.0000 0.5000 0.0000
Ni2 0.0000 0.0000 0.5000
Ni3 0.5000 0.0000 0.0000
Zn1 0.5000 0.5000 0.5000
B1 0.0000 0.0000 0.0000

Results
Energy relative to the elements in eV per atom: -0.16
Energy in eV per atom: -5.22